# 1
Below is UVCr after structural relaxation, with properties calculated at the PBE level.

Results
Total DFT energy (no corrections) = -58.39 eV for the cell shown
Density = 12.106 g/cm3
Energy relative to the lowest polymorph listed for this composition = 9.8 kJ/mol of atoms

Cell lengths 2.8910, 2.8910, 11.1914 Å; angles 90.00, 90.00, 90.00 degrees
Closest atoms and distances in Å follow each position.
Space group I4mm (No. 107)
Unique sites:
U 0.0000 0.0000 0.0000 x2  4 Cr 2.86, 4 U 2.89, 4 V 3.04
V 0.0000 0.0000 0.7007 x2  4 Cr 2.45
Cr 0.0000 0.0000 0.3214 x2  4 V 2.45

# 2
Below is UVCr after structural relaxation, with properties calculated at the PBE level.

Results
Total DFT energy (no corrections) = -59.00 eV for the cell shown
Density = 12.504 g/cm3
Energy relative to the lowest polymorph listed for this composition = 0.0 kJ/mol of atoms

Cell lengths 2.7583, 5.1417, 6.7083 Å; angles 103.47, 101.21, 90.96 degrees
Closest atoms and distances in Å follow each position.
Space group P-1 (No. 2)
Unique sites:
U 0.0615 0.4400 0.1851 x2  1 Cr 2.27, 1 V 2.51
V 0.1980 0.0324 0.8206 x2  1 U 2.51, 2 Cr 2.59-2.76, 3 V 2.74-2.76
Cr 0.4071 0.7606 0.4748 x2  1 U 2.27, 1 Cr 2.44

# 3
Below is UV2Cr after structural relaxation, with properties calculated at the PBE level.

Results
Total DFT energy (no corrections) = -153.93 eV for the cell shown
Density = 11.225 g/cm3
Energy relative to the lowest polymorph listed for this composition = 0.0 kJ/mol of atoms

Cell lengths 6.1437, 6.1437, 6.1437 Å; angles 90.00, 90.00, 90.00 degrees
Closest atoms and distances in Å follow each position.
Space group Fm-3m (No. 225)
Unique sites:
U 0.0000 0.0000 0.0000 x4  8 V 2.66
V 0.2500 0.2500 0.2500 x8  4 Cr 2.66, 4 U 2.66
Cr 0.0000 0.0000 0.5000 x4  8 V 2.66

# 4
Below is UVCr4 after structural relaxation, with properties calculated at the PBE level.

Results
Total DFT energy (no corrections) = -227.82 eV for the cell shown
Density = 9.790 g/cm3

Cell lengths 6.9602, 6.9602, 6.9602 Å; angles 90.00, 90.00, 90.00 degrees
Closest atoms and distances in Å follow each position.
Space group F-43m (No. 216)
Unique sites:
U 0.0000 0.0000 0.0000 x4  12 Cr 2.89, 4 V 3.01
V 0.2500 0.2500 0.2500 x4  12 Cr 2.88, 4 U 3.01
Cr 0.1245 0.1245 0.6245 x16  6 Cr 2.45-2.47

# 5
Below is UV2Cr after structural relaxation, with properties calculated at the PBE level.

Results
Total DFT energy (no corrections) = -37.93 eV for the cell shown
Density = 11.035 g/cm3
Energy relative to the lowest polymorph listed for this composition = 13.2 kJ/mol of atoms

Cell lengths 3.1292, 3.1292, 6.0226 Å; angles 90.00, 90.00, 90.00 degrees
Closest atoms and distances in Å follow each position.
Space group P4/mmm (No. 123)
Unique sites:
U 0.0000 0.0000 0.0000 x1  8 V 2.72, 2 Cr 3.01
V 0.5000 0.5000 0.2632 x2  4 Cr 2.63, 4 U 2.72, 1 V 2.85
Cr 0.0000 0.0000 0.5000 x1  8 V 2.63

# 6
Below is UCr4W after structural relaxation, with properties calculated at the PBE level.

Results
Total DFT energy (no corrections) = -242.82 eV for the cell shown
Density = 12.139 g/cm3

Cell lengths 7.0111, 7.0111, 7.0111 Å; angles 90.00, 90.00, 90.00 degrees
Closest atoms and distances in Å follow each position.
Space group F-43m (No. 216)
Unique sites:
U 0.0000 0.0000 0.0000 x4  12 Cr 2.91, 4 W 3.04
Cr 0.1250 0.1250 0.3750 x16  6 Cr 2.48
W 0.2500 0.2500 0.7500 x4  12 Cr 2.91, 4 U 3.04

# 7
Below is Zr2UCr after structural relaxation, with properties calculated at the PBE level.

Results
Total DFT energy (no corrections) = -108.95 eV for the cell shown
Density = 9.706 g/cm3

Cell lengths 3.1459, 3.1459, 28.2937 Å; angles 90.00, 90.00, 120.00 degrees
Closest atoms and distances in Å follow each position.
Space group R-3m (No. 166, hexagonal axes)
Unique sites:
Zr 0.0000 0.0000 0.2363 x6  3 Cr 2.68
U 0.0000 0.0000 0.0000 x3  6 U 3.15, 6 Zr 3.29
Cr 0.0000 0.0000 0.5000 x3  6 Zr 2.68

# 8
Below is ZrUCr4 after structural relaxation, with properties calculated at the PBE level.

Results
Total DFT energy (no corrections) = -227.95 eV for the cell shown
Density = 9.742 g/cm3

Cell lengths 7.1551, 7.1551, 7.1551 Å; angles 90.00, 90.00, 90.00 degrees
Closest atoms and distances in Å follow each position.
Space group F-43m (No. 216)
Unique sites:
Zr 0.0000 0.0000 0.0000 x4  12 Cr 2.97, 4 U 3.10
U 0.2500 0.2500 0.7500 x4  12 Cr 2.97, 4 Zr 3.10
Cr 0.1248 0.1248 0.3752 x16  6 Cr 2.53

# 9
Below is V5Cr after structural relaxation, with properties calculated at the PBE level.

Results
Total DFT energy (no corrections) = -110.76 eV for the cell shown
Density = 6.475 g/cm3
Energy relative to the lowest polymorph listed for this composition = 0.0 kJ/mol of atoms

Cell lengths 4.2034, 12.6096, 2.9678 Å; angles 90.00, 90.00, 90.00 degrees
Closest atoms and distances in Å follow each position.
Space group Cmmm (No. 65)
Unique sites:
V 0.0000 0.0000 0.0000 x2  4 Cr 2.57, 4 V 2.59
V 0.0000 0.1681 0.5000 x4  8 V 2.57-2.61
V 0.0000 0.3388 0.0000 x4  2 Cr 2.52, 6 V 2.57-2.61
Cr 0.0000 0.5000 0.5000 x2  8 V 2.52-2.57

# 10
Below is V3Cr7 after structural relaxation, with properties calculated at the PBE level.

Results
Total DFT energy (no corrections) = -191.04 eV for the cell shown
Density = 7.135 g/cm3
Energy relative to the lowest polymorph listed for this composition = 0.0 kJ/mol of atoms

Cell lengths 12.2561, 4.0789, 4.9925 Å; angles 90.00, 105.48, 90.00 degrees
Closest atoms and distances in Å follow each position.
Space group C2/m (No. 12)
Unique sites:
V 0.0000 0.0000 0.0000 x2  8 Cr 2.49-2.51
V 0.1995 0.0000 0.7995 x4  8 Cr 2.48-2.53
Cr 0.0000 0.0000 0.5000 x2  4 V 2.50, 4 Cr 2.50
Cr 0.0989 0.5000 0.8976 x4  3 Cr 2.49-2.50, 5 V 2.49-2.53
Cr 0.1000 0.5000 0.3996 x4  8 Cr 2.49-2.51
Cr 0.1996 0.0000 0.3025 x4  5 V 2.48-2.51, 3 Cr 2.49-2.51

# 11
Below is VCr after structural relaxation, with properties calculated at the PBE level.

Results
Total DFT energy (no corrections) = -84.81 eV for the cell shown
Density = 3.451 g/cm3

Cell lengths 6.6732, 6.6732, 6.6732 Å; angles 90.00, 90.00, 90.00 degrees
Closest atoms and distances in Å follow each position.
Space group Pm-3n (No. 223)
Unique sites:
V 0.0000 0.2500 0.5000 x6  4 Cr 2.36
Cr 0.0000 0.5000 0.2500 x6  4 V 2.36

# 12
Below is VCr after structural relaxation, with properties calculated at the PBE level.

Results
Total DFT energy (no corrections) = -37.71 eV for the cell shown
Density = 6.888 g/cm3

Cell lengths 2.5963, 4.0747, 4.7776 Å; angles 90.00, 100.90, 90.00 degrees
Closest atoms and distances in Å follow each position.
Space group P2_1/m (No. 11)
Unique sites:
V 0.1299 0.2500 0.3715 x2  4 Cr 2.48-2.51, 4 V 2.53-2.60
Cr 0.3779 0.7500 0.1226 x2  4 V 2.48-2.51, 4 Cr 2.49-2.60

# 13
Below is VCr4 after structural relaxation, with properties calculated at the PBE level.

Results
Total DFT energy (no corrections) = -41.32 eV for the cell shown
Density = 5.170 g/cm3
Energy relative to the lowest polymorph listed for this composition = 92.9 kJ/mol of atoms

Cell lengths 4.3650, 4.3650, 4.3650 Å; angles 90.00, 90.00, 90.00 degrees
Closest atoms and distances in Å follow each position.
Space group Pm-3m (No. 221)
Unique sites:
V 0.0000 0.0000 0.0000 x1  6 Cr 2.18
Cr 0.0000 0.0000 0.5000 x3  2 V 2.18
Cr 0.5000 0.5000 0.5000 x1  12 Cr 3.09

# 14
Below is VCr after structural relaxation, with properties calculated at the PBE level.

Results
Total DFT energy (no corrections) = -31.86 eV for the cell shown
Density = 5.171 g/cm3

Cell lengths 3.9918, 3.9918, 4.7909 Å; angles 90.00, 90.00, 120.00 degrees
Closest atoms and distances in Å follow each position.
Space group P6_3/mmc (No. 194)
Unique sites:
V 0.3333 0.6667 0.2500 x2  5 Cr 2.30-2.40
Cr 0.3333 0.6667 0.7500 x2  5 V 2.30-2.40

# 15
Below is VCr after structural relaxation, with properties calculated at the PBE level.

Results
Total DFT energy (no corrections) = -57.59 eV for the cell shown
Density = 4.482 g/cm3

Cell lengths 5.3432, 5.3432, 5.3432 Å; angles 90.00, 90.00, 90.00 degrees
Closest atoms and distances in Å follow each position.
Space group F-43m (No. 216)
Unique sites:
V 0.0000 0.0000 0.0000 x4  4 Cr 2.31
Cr 0.2500 0.2500 0.7500 x4  4 V 2.31

# 16
Below is VCr after structural relaxation, with properties calculated at the PBE level.

Results
Total DFT energy (no corrections) = -37.68 eV for the cell shown
Density = 6.882 g/cm3

Cell lengths 2.9244, 4.2007, 4.0436 Å; angles 90.00, 90.00, 90.00 degrees
Closest atoms and distances in Å follow each position.
Space group Cmmm (No. 65)
Unique sites:
V 0.0000 0.0000 0.0000 x2  4 Cr 2.50, 4 V 2.56
Cr 0.0000 0.5000 0.5000 x2  4 V 2.50, 4 Cr 2.56

# 17
Below is VCr after structural relaxation, with properties calculated at the PBE level.

Results
Total DFT energy (no corrections) = -108.10 eV for the cell shown
Density = 6.416 g/cm3

Cell lengths 8.0439, 8.0439, 2.8528 Å; angles 90.00, 90.00, 120.00 degrees
Closest atoms and distances in Å follow each position.
Space group P6_3/mmc (No. 194)
Unique sites:
V 0.1495 0.2991 0.2500 x6  4 V 2.52, 4 Cr 2.64
Cr 0.1270 0.5635 0.7500 x6  4 Cr 2.27-2.49

# 18
Below is V7Cr after structural relaxation, with properties calculated at the PBE level.

Results
Total DFT energy (no corrections) = -147.20 eV for the cell shown
Density = 6.428 g/cm3

Cell lengths 4.1896, 4.1896, 12.0256 Å; angles 90.00, 90.00, 90.00 degrees
Closest atoms and distances in Å follow each position.
Space group I4/mmm (No. 139)
Unique sites:
V 0.0000 0.0000 0.0000 x2  8 V 2.56
V 0.0000 0.0000 0.2488 x4  8 V 2.59-2.60
V 0.0000 0.5000 0.1225 x8  2 Cr 2.56, 6 V 2.56-2.60
Cr 0.0000 0.0000 0.5000 x2  8 V 2.56

# 19
Below is VCr3 after structural relaxation, with properties calculated at the PBE level.

Results
Total DFT energy (no corrections) = -38.27 eV for the cell shown
Density = 7.189 g/cm3

Cell lengths 4.0772, 4.0772, 2.8754 Å; angles 90.00, 90.00, 90.00 degrees
Closest atoms and distances in Å follow each position.
Space group P4/mmm (No. 123)
Unique sites:
V 0.0000 0.0000 0.0000 x1  8 Cr 2.49
Cr 0.0000 0.5000 0.5000 x2  4 Cr 2.49, 4 V 2.49
Cr 0.5000 0.5000 0.0000 x1  8 Cr 2.49

# 20
Below is V13Cr3 after structural relaxation, with properties calculated at the PBE level.

Results
Total DFT energy (no corrections) = -295.61 eV for the cell shown
Density = 6.505 g/cm3

Cell lengths 5.9211, 8.3210, 8.4792 Å; angles 90.00, 90.00, 90.00 degrees
Closest atoms and distances in Å follow each position.
Space group Amm2 (No. 38)
Unique sites:
V 0.0000 0.0000 0.0000 x2  6 V 2.54-2.61, 2 Cr 2.56
V 0.0000 0.0000 0.4941 x2  2 Cr 2.58, 6 V 2.59-2.62
V 0.0000 0.2434 0.2468 x4  2 Cr 2.51, 6 V 2.59-2.61
V 0.2523 0.0000 0.7473 x4  1 Cr 2.58, 7 V 2.59-2.62
V 0.2527 0.2462 0.9959 x8  1 Cr 2.52, 7 V 2.54-2.60
V 0.5000 0.0000 0.4926 x2  2 Cr 2.56, 6 V 2.57-2.61
V 0.5000 0.2433 0.2458 x4  2 Cr 2.50, 6 V 2.58-2.59
Cr 0.2515 0.0000 0.2455 x4  7 V 2.50-2.58, 1 Cr 2.57
Cr 0.5000 0.0000 0.9973 x2  6 V 2.52-2.58, 2 Cr 2.57

# 21
Below is VCr after structural relaxation, with properties calculated at the PBE level.

Results
Total DFT energy (no corrections) = -68.88 eV for the cell shown
Density = 6.315 g/cm3

Cell lengths 4.7589, 4.7589, 4.7807 Å; angles 90.00, 90.00, 90.00 degrees
Closest atoms and distances in Å follow each position.
Space group P4_2/mnm (No. 136)
Unique sites:
V 0.2089 0.2089 0.0000 x4  6 Cr 2.39-2.44
Cr 0.2039 0.2039 0.5000 x4  6 V 2.39-2.44

# 22
Below is VCr after structural relaxation, with properties calculated at the PBE level.

Results
Total DFT energy (no corrections) = -150.89 eV for the cell shown
Density = 6.913 g/cm3

Cell lengths 5.8266, 5.8266, 5.8266 Å; angles 90.00, 90.00, 90.00 degrees
Closest atoms and distances in Å follow each position.
Space group Fd-3m (No. 227, origin choice 2)
Unique sites:
V 0.1250 0.1250 0.1250 x8  4 Cr 2.52, 4 V 2.52
Cr 0.1250 0.1250 0.6250 x8  4 Cr 2.52, 4 V 2.52

# 23
Below is VCr after structural relaxation, with properties calculated at the PBE level.

Results
Total DFT energy (no corrections) = -68.18 eV for the cell shown
Density = 6.243 g/cm3

Cell lengths 4.7843, 4.7843, 4.7843 Å; angles 90.00, 90.00, 90.00 degrees
Closest atoms and distances in Å follow each position.
Space group Fm-3m (No. 225)
Unique sites:
V 0.0000 0.0000 0.0000 x4  6 Cr 2.39
Cr 0.0000 0.0000 0.5000 x4  6 V 2.39

# 24
Below is VCr2 after structural relaxation, with properties calculated at the PBE level.

Results
Total DFT energy (no corrections) = -55.66 eV for the cell shown
Density = 6.932 g/cm3

Cell lengths 2.3845, 2.3845, 13.0555 Å; angles 90.00, 90.00, 90.00 degrees
Closest atoms and distances in Å follow each position.
Space group I4/mmm (No. 139)
Unique sites:
V 0.0000 0.0000 0.0000 x2  4 V 2.38
Cr 0.0000 0.0000 0.3320 x4  4 Cr 2.38

# 25
Below is V3Cr2 after structural relaxation, with properties calculated at the PBE level.

Results
Total DFT energy (no corrections) = -93.93 eV for the cell shown
Density = 6.767 g/cm3
Energy relative to the lowest polymorph listed for this composition = 0.0 kJ/mol of atoms

Cell lengths 2.9306, 2.9306, 14.6750 Å; angles 90.00, 90.00, 90.00 degrees
Closest atoms and distances in Å follow each position.
Space group I4/mmm (No. 139)
Unique sites:
V 0.0000 0.0000 0.0000 x2  8 Cr 2.54
V 0.0000 0.0000 0.1960 x4  4 Cr 2.50, 4 V 2.61
Cr 0.0000 0.0000 0.3998 x4  8 V 2.50-2.54

# 26
Below is VCr4 after structural relaxation, with properties calculated at the PBE level.

Results
Total DFT energy (no corrections) = -184.52 eV for the cell shown
Density = 6.900 g/cm3
Energy relative to the lowest polymorph listed for this composition = 0.0 kJ/mol of atoms

Cell lengths 5.4246, 12.5366, 4.3877 Å; angles 90.00, 123.35, 90.00 degrees
Closest atoms and distances in Å follow each position.
Space group C2/c (No. 15)
Unique sites:
V 0.0000 0.0744 0.2500 x4  6 Cr 2.42-2.70
Cr 0.1268 0.2634 0.6261 x8  5 Cr 2.17-2.43
Cr 0.1643 0.4260 0.0802 x8  4 Cr 2.40-2.64, 2 V 2.42-2.46

no.,energy relative to the elements (eV/atom)
1,0.28
2,0.18
3,0.17
4,0.32
5,0.30
6,0.34
7,0.42
8,0.22
9,-0.03
10,-0.08
11,2.30
12,-0.06
13,1.26
14,1.41
15,2.17
16,-0.05
17,0.36
18,-0.02
19,-0.07
20,-0.02
21,0.76
22,-0.06
23,0.85
24,0.18
25,-0.07
26,0.30